[1]
VASP calculation (PBE-GGA) on a relaxed structure of Rb2Na2N.

POSCAR file:
```
Rb2Na2N
1.0
-2.100 2.100 11.251
2.100 -2.100 11.251
2.100 2.100 -11.251
Rb Na N
2 2 1
Cartesian
0.000 0.000 1.648
0.000 0.000 20.853
2.100 0.000 5.625
0.000 2.100 5.625
0.000 0.000 11.251
```

Calculated values
Excess energy over the best structure of this formula in the dataset   24 meV per atom
Space group   No. 139
Energy   -1.92 eV per atom
Size of the total moment   0.276 μB/atom


[2]
VASP calculation (PBE-GGA) on a relaxed structure of RbNaN.

POSCAR file:
```
RbNaN
1.0
3.889 0.000 0.000
0.007 4.165 0.000
1.943 1.461 12.594
Rb Na N
2 2 2
Cartesian
0.000 0.000 0.000
1.947 2.140 8.829
1.952 2.109 3.294
3.902 4.187 5.534
3.894 3.441 11.115
3.890 4.325 10.308
```

Calculated values
Space group   No. 1
Energy   -3.54 eV per atom
Size of the total moment   0.158 μB/atom


[3]
VASP calculation (PBE-GGA) on a relaxed structure of RbNaN2.

POSCAR file:
```
RbNaN2
1.0
0.000 3.395 3.395
3.395 0.000 3.395
3.395 3.395 0.000
Rb Na N
1 1 2
Cartesian
0.000 0.000 0.000
3.395 3.395 3.395
1.698 1.698 1.698
5.093 5.093 5.093
```

Calculated values
Excess energy over the best structure of this formula in the dataset   182 meV per atom
Space group   No. 225
Energy   -3.27 eV per atom
Size of the total moment   1.000 μB/atom


[4]
VASP calculation (PBE-GGA) on a relaxed structure of RbNa3N.

POSCAR file:
```
RbNa3N
1.0
6.320 0.000 0.000
0.000 6.320 0.000
0.000 0.000 6.320
Rb Na N
1 3 1
Cartesian
0.000 0.000 0.000
0.000 0.000 3.160
0.000 3.160 0.000
3.160 0.000 0.000
3.160 3.160 3.160
```

Calculated values
Excess energy over the best structure of this formula in the dataset   1320 meV per atom
Space group   No. 221
Energy   -0.98 eV per atom
Size of the total moment   0.000 μB/atom


[5]
VASP calculation (PBE-GGA) on a relaxed structure of RbNa2N.

POSCAR file:
```
RbNa2N
1.0
-3.584 3.584 5.477
3.584 -3.584 5.477
3.584 3.584 -5.477
Rb Na N
2 4 2
Cartesian
3.584 1.792 1.369
0.000 1.792 4.108
0.000 0.000 0.000
1.792 1.792 -2.739
1.792 -1.792 2.739
0.000 3.584 0.000
3.584 -1.792 4.108
0.000 5.376 1.369
```

Calculated values
Space group   No. 141
Energy   -2.55 eV per atom
Size of the total moment   0.003 μB/atom


[6]
VASP calculation (PBE-GGA) on a relaxed structure of RbNaN2.

POSCAR file:
```
RbNaN2
1.0
1.972 1.138 5.335
-1.972 1.138 5.335
0.000 -2.277 5.335
Rb Na N
1 1 2
Cartesian
0.000 0.000 0.000
0.000 0.000 8.003
0.000 0.000 2.936
0.000 0.000 13.070
```

Calculated values
Excess energy over the best structure of this formula in the dataset   0 meV per atom
Space group   No. 166
Energy   -3.45 eV per atom
Size of the total moment   0.000 μB/atom


[7]
VASP calculation (PBE-GGA) on a relaxed structure of RbNaN2.

POSCAR file:
```
RbNaN2
1.0
2.130 1.230 8.296
-2.130 1.230 8.296
0.000 -2.459 8.296
Rb Na N
1 1 2
Cartesian
0.000 0.000 0.000
0.000 0.000 12.444
0.000 0.000 10.101
0.000 0.000 14.787
```

Calculated values
Excess energy over the best structure of this formula in the dataset   288 meV per atom
Space group   No. 166
Energy   -3.16 eV per atom
Size of the total moment   1.000 μB/atom


[8]
VASP calculation (PBE-GGA) on a relaxed structure of Rb2Na2N.

POSCAR file:
```
Rb2Na2N
1.0
7.614 0.000 0.000
0.000 7.614 0.000
0.000 0.000 7.466
Rb Na N
4 4 2
Cartesian
1.438 2.369 0.000
2.369 6.176 0.000
5.245 1.438 0.000
6.176 5.245 0.000
1.296 5.103 3.733
2.511 1.296 3.733
5.103 6.318 3.733
6.318 2.511 3.733
0.000 0.000 0.000
3.807 3.807 0.000
```

Calculated values
Excess energy over the best structure of this formula in the dataset   0 meV per atom
Space group   No. 127
Energy   -1.94 eV per atom
Size of the total moment   0.205 μB/atom